Entry 1:
Computed, not measured: crystalline InMoI3 at its relaxed geometry at the PBE level of DFT.

Results
Space-group type: Pm-3m, No. 221
Theoretical density in g/cm3: 5.1
Size of the total moment in Bohr magnetons per cell: 4.00
Final energy in Ry/atom: -0.2618

POSCAR file:
```
InMoI3
1.0
-1.5794 -2.4615 4.9856
5.4161 -1.8530 0.8009
1.2572 4.8905 2.8128
I Mo In
3 1 1
Cartesian
2.7081 -0.9265 0.4004
0.6286 2.4452 1.4064
-0.7897 -1.2307 2.4928
0.0000 0.0000 0.0000
2.5470 0.2880 4.2996
```


Entry 2:
Computed, not measured: crystalline Ta2PCl at its relaxed geometry at the PBE level of DFT.

Results
Space-group type: Fm-3m, No. 225
Theoretical density in g/cm3: 11.6
Size of the total moment in Bohr magnetons per cell: 0.00
Final energy in Ry/atom: -0.5673

POSCAR file:
```
Ta2PCl
1.0
1.5191 -4.1479 0.2381
1.8182 -1.4776 3.7523
-2.1297 -2.9977 2.4591
P Cl Ta
1 1 2
Cartesian
0.0000 0.0000 0.0000
0.6038 -4.3116 3.2248
0.3019 -2.1558 1.6124
0.9057 -6.4675 4.8372
```


Entry 3:
Computed, not measured: crystalline YBiAs2Se at its relaxed geometry at the PBE level of DFT.

Results
Space-group type: P4/mmm, No. 123
Theoretical density in g/cm3: 5.5
Size of the total moment in Bohr magnetons per cell: 0.00
Final energy in Ry/atom: -0.3285

POSCAR file:
```
YBiAs2Se
1.0
-4.0594 -3.5993 -0.5374
0.9547 -0.2763 -5.3605
3.4221 -3.9811 0.8146
Y As Bi Se
1 2 1 1
Cartesian
0.0000 0.0000 0.0000
0.4773 -0.1381 -2.6803
-2.0297 -1.7997 -0.2687
0.1587 -3.9284 -2.5416
1.7111 -1.9906 0.4073
```


Entry 4:
Computed, not measured: crystalline Al3AsP at its relaxed geometry at the PBE level of DFT.

Results
Space-group type: Pm-3m, No. 221
Energy of formation from the pure elements in kJ/mol of atoms: 35
Theoretical density in g/cm3: 3.0
Size of the total moment in Bohr magnetons per cell: 0.00
Final energy in Ry/atom: -0.2864

POSCAR file:
```
Al3AsP
1.0
4.6978 0.0000 0.0000
0.0000 4.6978 0.0000
0.0000 0.0000 4.6978
P As Al
1 1 3
Cartesian
0.0000 0.0000 0.0000
2.3489 2.3489 2.3489
0.0000 2.3489 0.0000
0.0000 0.0000 2.3489
2.3489 0.0000 0.0000
```


Entry 5:
Computed, not measured: crystalline ReRu2S at its relaxed geometry at the PBE level of DFT.

Results
Space-group type: Cm, No. 8
Theoretical density in g/cm3: 12.4
Size of the total moment in Bohr magnetons per cell: 0.00
Final energy in Ry/atom: -0.6368

POSCAR file:
```
ReRu2S
1.0
3.8009 0.0000 0.0002
0.0000 2.8368 0.0000
-0.8175 0.0000 10.4566
Re S Ru
2 2 4
Cartesian
0.4440 0.0000 0.7809
0.0353 1.4184 6.0092
2.1078 0.0000 2.5040
1.6991 1.4184 7.7323
1.9307 0.0000 4.7737
1.5220 1.4184 10.0020
-0.3896 0.0000 8.3875
0.0192 1.4184 3.1593
```


Entry 6:
Computed, not measured: crystalline Pm7Nd5 at its relaxed geometry at the PBE level of DFT.

Results
Space-group type: C2/m, No. 12
Energy of formation from the pure elements in kJ/mol of atoms: 15
Theoretical density in g/cm3: 6.9
Size of the total moment in Bohr magnetons per cell: 0.00
Final energy in Ry/atom: -0.3380

POSCAR file:
```
Pm7Nd5
1.0
5.9676 0.0000 0.0000
-2.9838 4.8524 -0.4124
0.0000 -2.5558 14.7438
Pm Nd
7 5
Cartesian
0.0000 0.6833 9.7007
2.9838 1.6133 4.6307
0.0000 -0.2024 3.1284
2.9838 2.4990 11.2030
2.9838 1.5086 1.0943
2.9838 -1.2779 7.3719
0.0000 0.7880 13.2371
0.0000 0.1611 6.3386
2.9838 2.1355 7.9928
0.0000 3.1119 2.6493
2.9838 -0.8153 11.6820
0.0000 0.0000 0.0000
```


Entry 7:
Computed, not measured: crystalline Rb3Sm2PuTe6 at its relaxed geometry at the PBE level of DFT.

Results
Space-group type: C2/m, No. 12
Theoretical density in g/cm3: 5.5
Size of the total moment in Bohr magnetons per cell: 5.00
Final energy in Ry/atom: -0.3737

POSCAR file:
```
Rb3Sm2PuTe6
1.0
-7.7435 -1.9300 0.4884
4.5424 -3.1296 -5.7878
3.0244 -4.8794 6.8530
Rb Sm Pu Te
3 2 1 6
Cartesian
3.9991 -5.3686 -1.3112
-4.1759 -4.5703 2.8649
-0.0884 -4.9694 0.7769
0.4453 -2.7295 -3.6948
-3.6465 -2.3300 -1.6045
0.0000 0.0000 0.0000
-2.0843 -7.5730 2.4550
-1.7400 -4.7014 -2.5075
1.9076 -2.3659 -0.9013
2.0070 -7.9725 0.3650
1.5633 -5.2375 4.0613
-2.1837 -1.9664 1.1887
```


Entry 8:
Computed, not measured: crystalline SnGeAsHIr at its relaxed geometry at the PBE level of DFT.

Results
Space-group type: Cm, No. 8
Theoretical density in g/cm3: 8.4
Size of the total moment in Bohr magnetons per cell: 0.00
Final energy in Ry/atom: -0.3683

POSCAR file:
```
SnGeAsHIr
1.0
-1.4930 1.7024 4.7576
-2.3031 -1.9766 -0.0154
7.4791 -8.7318 2.2184
Sn Ge As H Ir
2 2 2 2 2
Cartesian
4.2521 -4.9735 2.4322
-0.6390 -1.5959 1.3152
6.0180 -7.0387 3.4181
1.1268 -3.6611 2.3012
5.1666 -6.0653 5.8113
0.2754 -2.6877 4.6943
3.7050 -4.3549 4.8566
-1.1861 -0.9773 3.7396
2.7083 -3.1889 4.2581
5.2963 -8.5431 5.3596
```


Entry 9:
Computed, not measured: crystalline TaSbMo at its relaxed geometry at the PBE level of DFT.

Results
Space-group type: P3m1, No. 156
Theoretical density in g/cm3: 11.2
Size of the total moment in Bohr magnetons per cell: 0.00
Final energy in Ry/atom: -0.6359

POSCAR file:
```
TaSbMo
1.0
-1.2346 0.9808 -2.8394
-1.9681 -1.1340 2.3215
-0.6708 6.0140 2.3691
Mo Sb Ta
1 1 1
Cartesian
-0.6563 5.8845 2.3181
-1.9425 1.5340 1.3745
-1.9453 4.4563 0.5277
```


Entry 10:
Computed, not measured: crystalline CaDyTm2 at its relaxed geometry at the PBE level of DFT.

Results
Space-group type: Fm-3m, No. 225
Energy of formation from the pure elements in kJ/mol of atoms: 19
Theoretical density in g/cm3: 6.9
Size of the total moment in Bohr magnetons per cell: 0.85
Final energy in Ry/atom: -0.2714

POSCAR file:
```
CaDyTm2
1.0
5.6962 0.0000 0.0000
2.8481 4.9330 0.0000
2.8481 1.6443 4.6509
Ca Tm Dy
1 2 1
Cartesian
5.6962 3.2887 2.3254
2.8481 1.6443 1.1627
8.5442 4.9330 3.4882
0.0000 0.0000 0.0000
```


Entry 11:
Computed, not measured: crystalline Rb2TaBiF6 at its relaxed geometry at the PBE level of DFT.

Results
Space-group type: I4/mmm, No. 139
Theoretical density in g/cm3: 3.8
Size of the total moment in Bohr magnetons per cell: 1.92
Final energy in Ry/atom: -0.3890

POSCAR file:
```
Rb2TaBiF6
1.0
7.3157 0.0000 0.0000
0.0000 7.3157 0.0000
3.6579 3.6579 5.4829
F Bi Rb Ta
6 1 2 1
Cartesian
3.6579 3.6579 1.9296
7.3157 7.3157 3.5534
2.2947 2.2947 0.0000
5.0211 5.0211 0.0000
5.0211 2.2947 0.0000
2.2947 5.0211 0.0000
0.0000 0.0000 0.0000
7.3157 3.6579 2.7415
3.6579 7.3157 2.7415
3.6579 3.6579 0.0000
```


Entry 12:
Computed, not measured: crystalline ZrMn3Co at its relaxed geometry at the PBE level of DFT.

Results
Space-group type: Pm-3m, No. 221
Energy of formation from the pure elements in kJ/mol of atoms: 85
Theoretical density in g/cm3: 7.0
Size of the total moment in Bohr magnetons per cell: 0.00
Final energy in Ry/atom: -0.5698

POSCAR file:
```
ZrMn3Co
1.0
4.2043 0.0000 0.0000
0.0000 4.2043 0.0000
0.0000 0.0000 4.2043
Mn Co Zr
3 1 1
Cartesian
0.0000 2.1022 0.0000
0.0000 0.0000 2.1022
2.1022 0.0000 0.0000
0.0000 0.0000 0.0000
2.1022 2.1022 2.1022
```